1.
Na2NbAuS4: optimized geometry, PBE.

Raw formation energy ... -6.454 eV per formula unit

a b c (Å): 8.297 7.359 6.984
angles (deg): 90.00 90.00 90.00
Space group Pmn2_1 (No. 31)
Inequivalent atoms, fractional coordinates:
Na (0.250, 0.218, 0.000) [4 per cell]
Nb (0.000, 0.328, 0.486) [2 per cell]
Au (0.000, 0.759, 0.927) [2 per cell]
S (0.000, 0.393, 0.804) [2 per cell]
S (0.000, 0.593, 0.324) [2 per cell]
S (0.226, 0.156, 0.401) [4 per cell]

---

2.
Na2NbAuSe4: optimized geometry, PBE.

Raw formation energy ... -5.639 eV per formula unit

a b c (Å): 7.824 7.824 6.397
angles (deg): 90.00 90.00 90.00
Space group I-42m (No. 121)
Inequivalent atoms, fractional coordinates:
Na (0.000, 0.500, 0.000) [4 per cell]
Nb (0.000, 0.000, 0.000) [2 per cell]
Au (0.000, 0.000, 0.500) [2 per cell]
Se (0.181, 0.181, 0.777) [8 per cell]

---

3.
NaNd5Au6: optimized geometry, PBE.

Formation energy from the elements ... -0.71 eV per atom

a b c (Å): 5.222 7.431 15.662
angles (deg): 90.00 90.00 90.00
Space group Immm (No. 71)
Inequivalent atoms, fractional coordinates:
Na (0.000, 0.000, 0.000) [2 per cell]
Nd (0.000, 0.000, 0.330) [4 per cell]
Nd (0.000, 0.500, 0.000) [2 per cell]
Nd (0.000, 0.500, 0.346) [4 per cell]
Au (0.000, 0.228, 0.500) [4 per cell]
Au (0.000, 0.265, 0.176) [8 per cell]

---

4.
NaNdAu: optimized geometry, PBE.

Formation energy from the elements ... -0.31 eV per atom

a b c (Å): 3.828 3.828 11.552
angles (deg): 90.00 90.00 90.00
Space group I4mm (No. 107)
Inequivalent atoms, fractional coordinates:
Na (0.000, 0.000, 0.000) [2 per cell]
Nd (0.000, 0.000, 0.280) [2 per cell]
Au (0.000, 0.000, 0.660) [2 per cell]

---

5.
Na2NdAu: optimized geometry, PBE.

Formation energy from the elements ... 0.10 eV per atom

a b c (Å): 3.3620 3.3620 34.7240
angles (deg): 90.00 90.00 120.00
Space group R-3m (No. 166, hexagonal axes)
Inequivalent atoms, fractional coordinates:
Na (0.0000, 0.0000, 0.0998) [6 per cell]
Nd (0.0000, 0.0000, 0.0000) [3 per cell]
Au (0.0000, 0.0000, 0.5000) [3 per cell]

---

6.
NaNdAu2: optimized geometry, PBE.

Formation energy from the elements ... -0.59 eV per atom

a b c (Å): 7.222 7.222 7.222
angles (deg): 90.00 90.00 90.00
Space group Fm-3m (No. 225)
Inequivalent atoms, fractional coordinates:
Na (0.000, 0.000, 0.000) [4 per cell]
Nd (0.000, 0.000, 0.500) [4 per cell]
Au (0.250, 0.250, 0.250) [8 per cell]

---

7.
NaNd2Au4: optimized geometry, PBE.

Formation energy from the elements ... -0.54 eV per atom

a b c (Å): 4.8240 4.8240 26.7447
angles (deg): 90.00 90.00 120.00
Space group R-3m (No. 166, hexagonal axes)
Inequivalent atoms, fractional coordinates:
Na (0.0000, 0.0000, 0.0000) [3 per cell]
Nd (0.0000, 0.0000, 0.2471) [6 per cell]
Au (0.0000, 0.0000, 0.1334) [6 per cell]
Au (0.0000, 0.0000, 0.3647) [6 per cell]

---

8.
NaNdAu10: optimized geometry, PBE.

Formation energy from the elements ... -0.30 eV per atom

a b c (Å): 4.702 5.576 9.715
angles (deg): 90.00 90.00 90.00
Space group Pmmm (No. 47)
Inequivalent atoms, fractional coordinates:
Na (0.000, 0.000, 0.000) [1 per cell]
Nd (0.000, 0.500, 0.500) [1 per cell]
Au (0.000, 0.000, 0.330) [2 per cell]
Au (0.000, 0.500, 0.165) [2 per cell]
Au (0.500, 0.000, 0.500) [1 per cell]
Au (0.500, 0.254, 0.254) [4 per cell]
Au (0.500, 0.500, 0.000) [1 per cell]